Record 1
Below is a relaxed structure of CoReRu, with properties calculated at the GGA-PBEsol level.

POSCAR file:
```
CoReRu
1.0
-0.907 -0.057 -2.445
1.755 -1.838 0.584
-5.175 -3.000 2.785
Re Co Ru
1 1 1
Direct
0.663 0.663 0.326 Re
0.001 0.001 0.002 Co
0.336 0.336 0.672 Ru
```

Summary:
electronic total energy: -9.999 eV/atom
symmetry: No. 42
ΔE_f: 1.2 eV per formula unit
DOS(E_F): 1.415 states/eV/atom

=====

Record 2
Below is a relaxed structure of Co3ReRu, with properties calculated at the GGA-PBEsol level.

POSCAR file:
```
Co3ReRu
1.0
4.222 0.000 0.000
0.000 4.222 0.000
0.000 0.000 4.222
Co Ru Re
3 1 1
Direct
0.500 0.000 0.000 Co
0.000 0.500 0.000 Co
0.000 0.000 0.500 Co
0.000 0.000 0.000 Ru
0.500 0.500 0.500 Re
```

Summary:
electronic total energy: -7.298 eV/atom
symmetry: No. 221
ΔE_f: 10.2 eV per formula unit
DOS(E_F): 1.956 states/eV/atom

=====

Record 3
Below is a relaxed structure of CoReRu, with properties calculated at the GGA-PBEsol level.

POSCAR file:
```
CoReRu
1.0
2.643 0.000 0.000
0.000 2.643 0.000
-1.322 -1.322 5.444
Ru Re Co
1 1 1
Direct
0.338 0.338 0.675 Ru
0.661 0.661 0.322 Re
0.001 0.001 0.003 Co
```

Summary:
electronic total energy: -10.327 eV/atom
symmetry: No. 107
ΔE_f: 0.3 eV per formula unit
DOS(E_F): 1.043 states/eV/atom